1.
## TaBe2Zn (PBE-GGA)

Data for TaBe2Zn after structural relaxation.

a = 2.774 Å, b = 2.774 Å, c = 6.366 Å
α = 90.00°, β = 90.00°, γ = 90.00°
Space group P4/mmm (No. 123)
Asymmetric unit:
1 Ta 0.000 0.000 0.000 (multiplicity 1)
2 Be 0.500 0.500 0.281 (multiplicity 2)
3 Zn 0.000 0.000 0.500 (multiplicity 1)

Calculated values
The calculated formation energy is 0.031 eV per atom.


2.
## NdSm6Y (PBE-GGA)

Data for NdSm6Y after structural relaxation.

a = 5.131 Å, b = 5.131 Å, c = 10.250 Å
α = 90.00°, β = 90.00°, γ = 90.00°
Space group P4/mmm (No. 123)
Asymmetric unit:
1 Nd 0.000 0.000 0.000 (multiplicity 1)
2 Sm 0.000 0.500 0.251 (multiplicity 4)
3 Sm 0.500 0.500 0.000 (multiplicity 1)
4 Sm 0.500 0.500 0.500 (multiplicity 1)
5 Y 0.000 0.000 0.500 (multiplicity 1)

Calculated values
The calculated formation energy is 0.018 eV per atom. Its energy relative to the lowest polymorph listed for this composition is 5 meV/atom.


3.
## KZnCu2Pt (PBE-GGA)

Data for KZnCu2Pt after structural relaxation.

a = 4.696 Å, b = 4.696 Å, c = 5.051 Å
α = 90.00°, β = 90.00°, γ = 90.00°
Space group P4/mmm (No. 123)
Asymmetric unit:
1 K 0.000 0.000 0.000 (multiplicity 1)
2 Zn 0.000 0.000 0.500 (multiplicity 1)
3 Cu 0.000 0.500 0.000 (multiplicity 2)
4 Pt 0.500 0.500 0.500 (multiplicity 1)

Calculated values
The calculated formation energy is 1.761 eV per atom.


4.
## H2PdOF (PBE-GGA)

Data for H2PdOF after structural relaxation.

a = 2.924 Å, b = 2.924 Å, c = 6.396 Å
α = 90.00°, β = 90.00°, γ = 90.00°
Space group P4/mmm (No. 123)
Asymmetric unit:
1 H 0.000 0.500 0.000 (multiplicity 2)
2 Pd 0.000 0.000 0.500 (multiplicity 1)
3 O 0.500 0.500 0.000 (multiplicity 1)
4 F 0.500 0.500 0.500 (multiplicity 1)


5.
## YHg3Pt (PBE-GGA)

Data for YHg3Pt after structural relaxation.

a = 5.698 Å, b = 5.698 Å, c = 5.698 Å
α = 90.00°, β = 90.00°, γ = 90.00°
Space group Pm-3m (No. 221)
Asymmetric unit:
1 Y 0.000 0.000 0.000 (multiplicity 1)
2 Hg 0.000 0.000 0.500 (multiplicity 3)
3 Pt 0.500 0.500 0.500 (multiplicity 1)

Calculated values
The calculated formation energy is 0.950 eV per atom. Its energy relative to the lowest polymorph listed for this composition is 881 meV/atom.


6.
## CaH4N2 (PBE-GGA)

Data for CaH4N2 after structural relaxation.

a = 5.716 Å, b = 5.716 Å, c = 4.283 Å
α = 90.00°, β = 90.00°, γ = 90.00°
Space group P4_2/mnm (No. 136)
Asymmetric unit:
1 Ca 0.000 0.000 0.000 (multiplicity 2)
2 H 0.030 0.239 0.500 (multiplicity 8)
3 N 0.207 0.207 0.500 (multiplicity 4)

Calculated values
Its energy relative to the lowest polymorph listed for this composition is 100 meV/atom.


Calculated total energy for the records above, in order: -5.114, -4.925, -1.560, -3.823, -1.732, -5.106 eV/atom